DFT (PBE) results for a geometry-optimized Ni2BiSb2 structure.

Computed properties:
- energy relative to the lowest polymorph listed for this composition (eV per atom) = 0.083
- total magnetization (Bohr magnetons per cell) = 0.00
- space-group type = No. 139

abc: 4.2858 4.2858 11.3696
angles: 90.00 90.00 90.00
Fractional positions:
Ni (0.0000, 0.0000, 0.1104)
Ni (0.0000, 0.0000, 0.8896)
Ni (0.5000, 0.5000, 0.3896)
Ni (0.5000, 0.5000, 0.6104)
Bi (0.0000, 0.0000, 0.5000)
Bi (0.5000, 0.5000, 0.0000)
Sb (0.0000, 0.5000, 0.2500)
Sb (0.0000, 0.5000, 0.7500)
Sb (0.5000, 0.0000, 0.2500)
Sb (0.5000, 0.0000, 0.7500)